The following is a PBE with a Hubbard U calculation of a relaxed CsCoIO2 crystal, from Alexandria via LeMat-Bulk.

a = 4.314 Å, b = 4.314 Å, c = 7.722 Å
α = 90.00°, β = 90.00°, γ = 90.00°
Each line ends with the local moment (μB).
Positions (direct):
Cs  0.000  0.000  0.000  0.00
O  0.000  0.500  0.000  0.00
O  0.500  0.000  0.000  0.00
Co  0.500  0.500  0.500  2.41
I  0.000  0.000  0.500  0.03

Results
- space-group type = No. 123
- calculated total energy (eV/atom) = -2.764
- DOS(E_F) (states/eV per cell) = 5.49
- volume (Å³/cell) = 144
- energy above the most stable polymorph in this dataset (eV/f.u.) = 3.99